First-principles (PBE) data for Pr7Rh2Pb2 after structural relaxation, as listed in the Alexandria database.

Cell lengths 7.1346, 7.1346, 7.4061 Å; angles 90.00, 90.00, 107.22 degrees
Last column: nearest neighbours and their distance in Å.
Fractional coordinates of all 11 atoms:
Pr1 0.0000 0.0000 0.0000  2 Rh 3.24
Pr2 0.0000 0.5000 0.2487  2 Rh 2.83
Pr3 0.0000 0.5000 0.7513  2 Rh 2.83
Pr4 0.5000 0.0000 0.2487  2 Rh 2.83
Pr5 0.5000 0.0000 0.7513  2 Rh 2.83
Pr6 0.5000 0.5000 0.2307  2 Rh 3.03, 2 Pb 3.34
Pr7 0.5000 0.5000 0.7693  2 Rh 3.03, 2 Pb 3.34
Rh1 0.2818 0.7182 0.0000  6 Pr 2.83-3.03
Rh2 0.7182 0.2818 0.0000  6 Pr 2.83-3.03
Pb1 0.1837 0.1837 0.5000  1 Pb 3.11, 6 Pr 3.34-3.47
Pb2 0.8163 0.8163 0.5000  1 Pb 3.11, 6 Pr 3.34-3.47

Values from the calculation:
The value obtained for the energy of formation from the pure elements is -377 meV per atom. As for the space-group type: Cmmm, No. 65. The calculation puts the total moment at 0.00 μB/f.u.